Record 1
This record from the Alexandria database describes a relaxed structure of SmY2Ho4Mg. The functional is PBE-GGA.

POSCAR file:
```
SmY2Ho4Mg
1.0
4.946 0.000 0.000
0.000 4.946 0.000
0.000 0.000 10.067
Sm Y Ho Mg
1 2 4 1
direct
0.000 0.000 0.000
0.000 0.000 0.500
0.500 0.500 0.000
0.000 0.500 0.253
0.000 0.500 0.747
0.500 0.000 0.253
0.500 0.000 0.747
0.500 0.500 0.500
```

Calculated values
The calculation puts the density of states at the Fermi level at 1.513 states/eV per atom. The crystal system is tetragonal. Its formation enthalpy at 0 K is 0.02 eV per atom.

Record 2
This record from the Alexandria database describes a relaxed structure of SmBe4IrPt2. The functional is PBE-GGA.

POSCAR file:
```
SmBe4IrPt2
1.0
1.973 1.139 8.252
-1.973 1.139 8.252
0.000 -2.278 8.252
Sm Be Ir Pt
1 4 1 2
direct
0.000 0.000 0.000
0.135 0.135 0.135
0.410 0.410 0.410
0.590 0.590 0.590
0.865 0.865 0.865
0.500 0.500 0.500
0.241 0.241 0.241
0.759 0.759 0.759
```

Calculated values
The calculation puts the density of states at the Fermi level at 0.178 states/eV per atom. The crystal system is trigonal. Its formation enthalpy at 0 K is -0.67 eV per atom.